(1)
Entry from Alexandria: a geometry-optimized KCoP2H5O9 structure (PBEsol).

For the raw total energy, the calculation gives -6.279 eV/atom.

Cell: 6.4930 7.7024 15.2758 Å, 90.00 90.01 90.00°
Fractional positions:
Co (0.4507, 0.2491, 0.6935)
Co (0.0493, 0.2492, 0.1935)
Co (0.9507, 0.7492, 0.8065)
Co (0.5493, 0.7491, 0.3065)
P (0.8588, 0.4423, 0.3632)
P (0.1411, 0.5558, 0.6368)
P (0.6408, 0.0557, 0.8632)
P (0.6412, 0.4423, 0.8631)
P (0.3588, 0.9423, 0.1369)
P (0.8589, 0.0558, 0.3632)
P (0.1412, 0.9423, 0.6368)
P (0.3592, 0.5557, 0.1368)
H (0.7143, 0.1455, 0.1022)
H (0.7857, 0.1455, 0.6022)
H (0.5000, 0.4990, 0.9998)
H (0.1289, 0.3579, 0.7690)
H (0.7858, 0.3529, 0.6022)
H (0.8711, 0.6404, 0.2310)
H (0.6288, 0.6405, 0.7309)
H (0.2857, 0.8530, 0.8978)
H (0.8711, 0.8579, 0.2310)
H (0.1289, 0.1404, 0.7690)
H (0.3711, 0.3579, 0.2691)
H (0.6289, 0.8579, 0.7309)
H (0.3712, 0.1405, 0.2691)
H (0.0000, 0.4991, 0.4999)
H (0.2857, 0.6455, 0.8978)
H (0.2142, 0.8529, 0.3978)
H (0.5000, 0.9990, 0.0002)
H (0.0000, 0.9991, 0.5001)
H (0.7143, 0.3530, 0.1022)
H (0.2143, 0.6455, 0.3978)
O (0.8207, 0.5588, 0.8872)
O (0.7924, 0.7491, 0.2160)
O (0.2231, 0.7491, 0.6128)
O (0.3062, 0.7492, 0.3949)
O (0.0773, 0.9455, 0.7324)
O (0.9227, 0.4455, 0.2676)
O (0.0773, 0.5528, 0.7324)
O (0.0473, 0.4751, 0.4245)
O (0.7076, 0.7491, 0.7159)
O (0.6938, 0.2492, 0.6051)
O (0.2770, 0.7490, 0.1129)
O (0.0474, 0.0231, 0.4244)
O (0.4230, 0.9456, 0.2324)
O (0.5770, 0.0526, 0.7675)
O (0.1797, 0.4391, 0.1129)
O (0.9527, 0.9751, 0.5755)
O (0.1793, 0.0588, 0.1128)
O (0.9526, 0.5231, 0.5756)
O (0.7230, 0.2490, 0.8871)
O (0.9227, 0.0528, 0.2676)
O (0.8203, 0.9391, 0.8871)
O (0.1937, 0.7492, 0.8949)
O (0.4524, 0.0232, 0.9244)
O (0.7769, 0.2491, 0.3872)
O (0.8063, 0.2492, 0.1051)
O (0.5770, 0.4456, 0.7676)
O (0.4230, 0.5526, 0.2325)
O (0.3207, 0.0589, 0.6128)
O (0.6793, 0.5589, 0.3872)
O (0.5476, 0.5232, 0.0756)
O (0.2076, 0.2491, 0.7840)
O (0.3205, 0.4392, 0.6129)
O (0.6795, 0.9392, 0.3871)
O (0.4527, 0.4750, 0.9244)
O (0.2924, 0.2491, 0.2841)
O (0.5473, 0.9750, 0.0756)
K (0.1150, 0.2491, 0.9636)
K (0.3848, 0.2491, 0.4636)
K (0.8850, 0.7491, 0.0364)
K (0.6152, 0.7491, 0.5364)

---

(2)
Entry from Alexandria: a geometry-optimized Sr5Ca3Ti5Mn3O24 structure (PBEsol).

For the raw total energy, the calculation gives -8.165 eV/atom. The calculation puts the raw formation energy at -275 kJ/mol of atoms.

Cell: 7.6506 7.6478 7.6589 Å, 89.91 90.00 89.94°
Fractional positions:
Ca (0.2424, 0.7656, 0.2377)
Ca (0.7536, 0.7430, 0.2552)
Ca (0.7557, 0.7418, 0.7663)
O (0.9705, 0.9724, 0.7489)
O (0.4932, 0.5343, 0.7516)
O (0.5256, 0.9609, 0.7493)
O (0.5233, 0.7500, 0.0394)
O (0.0220, 0.2485, 0.9846)
O (0.4817, 0.2494, 0.9712)
O (0.9845, 0.4889, 0.2466)
O (0.9656, 0.7499, 0.0235)
O (0.0322, 0.7547, 0.4767)
O (0.7560, 0.9685, 0.4706)
O (0.4806, 0.0288, 0.2485)
O (0.2444, 0.9739, 0.9823)
O (0.5260, 0.2487, 0.5276)
O (0.7508, 0.5406, 0.5120)
O (0.7547, 0.4839, 0.9878)
O (0.0070, 0.5178, 0.7558)
O (0.0300, 0.0112, 0.2478)
O (0.9744, 0.2448, 0.5110)
O (0.2451, 0.0229, 0.5220)
O (0.4662, 0.7504, 0.4583)
O (0.7561, 0.0182, 0.0192)
O (0.2488, 0.4757, 0.4949)
O (0.2439, 0.5276, 0.0177)
O (0.5158, 0.4683, 0.2510)
Mn (0.9987, 0.5041, 0.0016)
Mn (0.9997, 0.9974, 0.4977)
Mn (0.9994, 0.9976, 0.0003)
Ti (0.5013, 0.5030, 0.0023)
Ti (0.9991, 0.5048, 0.4976)
Ti (0.5007, 0.5038, 0.4986)
Ti (0.5013, 0.9973, 0.4987)
Ti (0.5018, 0.9982, 0.0012)
Sr (0.7554, 0.2431, 0.2543)
Sr (0.2452, 0.2559, 0.7468)
Sr (0.7565, 0.2434, 0.7588)
Sr (0.2455, 0.7543, 0.7402)
Sr (0.2455, 0.2563, 0.2445)

---

(3)
Entry from Alexandria: a geometry-optimized Na2BIr structure (PBEsol).

For the raw total energy, the calculation gives -4.353 eV/atom. As for the formation energy: 0.5572 eV per atom.

Cell: 3.9253 7.2330 7.2330 Å, 85.78 74.26 74.26°
Fractional positions:
Na (0.3750, 0.1728, 0.3272)
Na (0.4522, 0.6728, 0.1728)
Na (0.2978, 0.3272, 0.8272)
Na (0.8750, 0.8272, 0.6728)
Ir (0.0000, 0.0000, 0.0000)
Ir (0.7500, 0.5000, 0.5000)
B (0.5000, 0.0000, 0.0000)
B (0.2500, 0.5000, 0.5000)

---

(4)
Entry from Alexandria: a geometry-optimized Y2InRu2 structure (PBEsol).

For the raw total energy, the calculation gives -7.725 eV/atom. As for the formation energy: -0.3308 eV per atom.

Cell: 4.1911 6.9965 6.9965 Å, 90.00 90.00 90.00°
Fractional positions:
Y (0.5000, 0.6772, 0.8228)
Y (0.5000, 0.8228, 0.3228)
Y (0.5000, 0.1772, 0.6772)
Y (0.5000, 0.3228, 0.1772)
In (0.0000, 0.0000, 0.0000)
In (0.0000, 0.5000, 0.5000)
Ru (0.0000, 0.8748, 0.6252)
Ru (0.0000, 0.6252, 0.1252)
Ru (0.0000, 0.3748, 0.8748)
Ru (0.0000, 0.1252, 0.3748)

---

Taking the records one at a time from the top gives V values of 10.6 11.2 23.8 20.5 Å³/atom.